# 1
CeUCo2Ge4 | PBE-GGA | optimized geometry

abc: 4.0710 4.0710 9.2800
angles: 90.00 90.00 90.00
Last column: magnetic moment on the atom in μB.
Fractional coordinates of all 8 atoms:
1 Co 0.5000 0.5000 0.3802  0.83
2 Co 0.5000 0.5000 0.6198  0.83
3 U 0.0000 0.0000 0.0000  2.07
4 Ge 0.0000 0.5000 0.7657  -0.02
5 Ge 0.5000 0.0000 0.2343  -0.02
6 Ge 0.5000 0.0000 0.7657  -0.02
7 Ge 0.0000 0.5000 0.2343  -0.02
8 Ce 0.0000 0.0000 0.5000  -0.16

Computed properties:
The total magnetization is 3.66 μB per formula unit. The formation energy from the elements is -0.22 eV per atom. Its crystal system is tetragonal.

=====

# 2
Pr3Y2Te5 | PBE-GGA | optimized geometry

abc: 4.4479 7.7414 9.9959
angles: 97.07 77.14 73.30
Fractional coordinates of all 10 atoms:
1 Te 0.3851 0.4170 0.8129
2 Te 0.2064 0.1979 0.3893
3 Te 0.0000 0.0000 0.0000
4 Te 0.7936 0.8021 0.6107
5 Te 0.6149 0.5830 0.1871
6 Pr 0.0972 0.1112 0.6944
7 Pr 0.9028 0.8888 0.3056
8 Pr 0.5000 0.5000 0.5000
9 Y 0.6950 0.7086 0.9014
10 Y 0.3050 0.2914 0.0986

Computed properties:
For the energy relative to the elements, uncorrected, the calculation gives -134.3 kJ per mole of atoms. The total magnetization is 0.00 μB per formula unit. Its crystal system is monoclinic.

=====

# 3
Mo2RuBr | PBE-GGA | optimized geometry

abc: 4.4955 4.4955 4.4955
angles: 60.00 60.00 60.00
Fractional coordinates of all 4 atoms:
1 Mo 0.2500 0.2500 0.2500
2 Mo 0.0000 0.0000 0.0000
3 Br 0.5000 0.5000 0.5000
4 Ru 0.7500 0.7500 0.7500

Computed properties:
For the energy relative to the elements, uncorrected, the calculation gives 96.0 kJ per mole of atoms. The total magnetization is 0.00 μB per formula unit. Its crystal system is cubic. The calculation puts the energy above the most stable polymorph in this dataset at 585 meV/atom.

=====

# 4
Y2InAu | PBE-GGA | optimized geometry

abc: 3.9359 3.9359 6.7312
angles: 90.00 90.00 90.00
Last column: magnetic moment on the atom in μB.
Fractional coordinates of all 4 atoms:
1 Y 0.0000 0.0000 0.9715  0.18
2 Y 0.5000 0.5000 0.2895  0.20
3 Au 0.0000 0.0000 0.4869  0.01
4 In 0.5000 0.5000 0.7520  -0.02

Computed properties:
The total magnetization is 0.76 μB per formula unit. The formation energy from the elements is -0.43 eV per atom. Its crystal system is tetragonal.

=====

# 5
Mg4Tl2Hg | PBE-GGA | optimized geometry

abc: 7.8370 7.8465 7.4410
angles: 110.83 110.53 109.32
Fractional coordinates of all 14 atoms:
1 Mg 0.3392 0.0804 0.3927
2 Mg 0.2426 0.4823 0.1092
3 Mg 0.8883 0.3030 0.2249
4 Mg 0.3719 0.1328 0.8907
5 Mg 0.8681 0.7681 0.2643
6 Mg 0.6895 0.9459 0.6073
7 Mg 0.5032 0.6031 0.7345
8 Mg 0.0775 0.6645 0.7757
9 Tl 0.5440 0.9114 0.1506
10 Tl 0.6313 0.4743 0.3897
11 Tl 0.0846 0.2418 0.6099
12 Tl 0.7606 0.3926 0.8488
13 Hg 0.0022 0.0028 0.0013
14 Hg 0.2470 0.7470 0.5003

Computed properties:
The total magnetization is 0.00 μB per formula unit. The formation energy from the elements is -0.06 eV per atom. Its crystal system is triclinic. The calculation puts the energy above the most stable polymorph in this dataset at 0 meV/atom.

=====

# 6
ScTeH2 | PBE-GGA | optimized geometry

abc: 4.4764 4.4764 6.7482
angles: 70.63 70.63 90.00
Fractional coordinates of all 8 atoms:
1 Sc 0.5000 0.5000 0.0000
2 Sc 0.2500 0.7500 0.5000
3 Te 0.0000 0.0000 0.0000
4 Te 0.7500 0.2500 0.5000
5 H 0.3761 0.1250 0.2500
6 H 0.3739 0.6250 0.2500
7 H 0.3750 0.6239 0.7500
8 H 0.8750 0.6261 0.7500

Computed properties:
The total magnetization is 0.00 μB per formula unit. Its crystal system is tetragonal. The total energy comes out at -4.31 eV/atom.

=====

# 7
Ac6SnPb | PBE-GGA | optimized geometry

abc: 5.3380 5.3380 10.6748
angles: 90.00 90.00 90.00
Fractional coordinates of all 8 atoms:
1 Ac 0.5000 0.0000 0.7466
2 Ac 0.0000 0.5000 0.7466
3 Ac 0.0000 0.5000 0.2534
4 Ac 0.5000 0.5000 0.0000
5 Ac 0.5000 0.5000 0.5000
6 Ac 0.5000 0.0000 0.2534
7 Sn 0.0000 0.0000 0.5000
8 Pb 0.0000 0.0000 0.0000

Computed properties:
The total magnetization is 0.00 μB per formula unit. The formation energy from the elements is -0.29 eV per atom. Its crystal system is tetragonal.

=====

# 8
DyBiAu4 | PBE-GGA | optimized geometry

abc: 5.6888 5.6888 5.6888
angles: 60.00 60.00 60.00
Fractional coordinates of all 6 atoms:
1 Au 0.6253 0.6253 0.6253
2 Au 0.6253 0.6253 0.1240
3 Au 0.6253 0.1240 0.6253
4 Au 0.1240 0.6253 0.6253
5 Bi 0.2500 0.2500 0.2500
6 Dy 0.0000 0.0000 0.0000

Computed properties:
The total magnetization is 0.00 μB per formula unit. The formation energy from the elements is -0.42 eV per atom. Its crystal system is cubic. The calculation puts the energy above the most stable polymorph in this dataset at 18 meV/atom.

=====

- Which formula does entry 3 have?
  Mo2RuBr

=====

- What is the formula in the sixth record?
  ScTeH2